No. 1
# Tb2CeTl4, optimized geometry, DFT PBE
# offset from the most stable computed form: 0.000 eV per atom
# space group: P4/mmm (123)
data_Tb2CeTl4
_chemical_formula_sum 'Tb2 Ce1 Tl4'
_space_group_name_H-M_alt 'P 1'
_space_group_IT_number 1
_cell_length_a 5.2775
_cell_length_b 5.2775
_cell_length_c 7.7030
_cell_angle_alpha 90.00
_cell_angle_beta 90.00
_cell_angle_gamma 90.00
loop_
_space_group_symop_operation_xyz
'x,y,z'
loop_
_atom_site_label
_atom_site_type_symbol
_atom_site_fract_x
_atom_site_fract_y
_atom_site_fract_z
Tb1 Tb 0.0000 0.0000 0.0000
Tb2 Tb 0.5000 0.5000 0.5000
Ce1 Ce 0.0000 0.0000 0.5000
Tl1 Tl 0.0000 0.5000 0.2281
Tl2 Tl 0.0000 0.5000 0.7719
Tl3 Tl 0.5000 0.0000 0.2281
Tl4 Tl 0.5000 0.0000 0.7719

No. 2
# Tb4CeTl5, optimized geometry, DFT PBE
# energy: -39.6 eV for the cell shown
# space group: P4/mmm (123)
data_Tb4CeTl5
_chemical_formula_sum 'Tb4 Ce1 Tl5'
_space_group_name_H-M_alt 'P 1'
_space_group_IT_number 1
_cell_length_a 3.6183
_cell_length_b 3.6183
_cell_length_c 21.2878
_cell_angle_alpha 90.00
_cell_angle_beta 90.00
_cell_angle_gamma 90.00
loop_
_space_group_symop_operation_xyz
'x,y,z'
loop_
_atom_site_label
_atom_site_type_symbol
_atom_site_fract_x
_atom_site_fract_y
_atom_site_fract_z
Tb1 Tb 0.0000 0.0000 0.0988
Tb2 Tb 0.0000 0.0000 0.2962
Tb3 Tb 0.0000 0.0000 0.7038
Tb4 Tb 0.0000 0.0000 0.9012
Ce1 Ce 0.0000 0.0000 0.5000
Tl1 Tl 0.5000 0.5000 0.0000
Tl2 Tl 0.5000 0.5000 0.1975
Tl3 Tl 0.5000 0.5000 0.3956
Tl4 Tl 0.5000 0.5000 0.6044
Tl5 Tl 0.5000 0.5000 0.8025

No. 3
# Tb6CeTl5, optimized geometry, DFT PBE
# energy: -47.6 eV for the cell shown
# space group: C2/m (12)
data_Tb6CeTl5
_chemical_formula_sum 'Tb6 Ce1 Tl5'
_space_group_name_H-M_alt 'P 1'
_space_group_IT_number 1
_cell_length_a 7.6944
_cell_length_b 7.6944
_cell_length_c 6.2177
_cell_angle_alpha 99.03
_cell_angle_beta 99.03
_cell_angle_gamma 94.46
loop_
_space_group_symop_operation_xyz
'x,y,z'
loop_
_atom_site_label
_atom_site_type_symbol
_atom_site_fract_x
_atom_site_fract_y
_atom_site_fract_z
Tb1 Tb 0.0531 0.4065 0.7384
Tb2 Tb 0.2283 0.2283 0.2316
Tb3 Tb 0.4065 0.0531 0.7384
Tb4 Tb 0.5935 0.9469 0.2616
Tb5 Tb 0.7717 0.7717 0.7684
Tb6 Tb 0.9469 0.5935 0.2616
Ce1 Ce 0.5000 0.5000 0.0000
Tl1 Tl 0.0000 0.0000 0.5000
Tl2 Tl 0.1935 0.8065 0.0000
Tl3 Tl 0.3573 0.6427 0.5000
Tl4 Tl 0.6427 0.3573 0.5000
Tl5 Tl 0.8065 0.1935 0.0000

No. 4
# Tb5CeTl8, optimized geometry, DFT PBE
# energy: -51.3 eV for the cell shown
# space group: I-4 (82)
data_Tb5CeTl8
_chemical_formula_sum 'Tb5 Ce1 Tl8'
_space_group_name_H-M_alt 'P 1'
_space_group_IT_number 1
_cell_length_a 8.0958
_cell_length_b 8.0958
_cell_length_c 8.0958
_cell_angle_alpha 109.90
_cell_angle_beta 109.90
_cell_angle_gamma 108.61
loop_
_space_group_symop_operation_xyz
'x,y,z'
loop_
_atom_site_label
_atom_site_type_symbol
_atom_site_fract_x
_atom_site_fract_y
_atom_site_fract_z
Tb1 Tb 0.0000 0.0000 0.0000
Tb2 Tb 0.2495 0.1305 0.6206
Tb3 Tb 0.3711 0.7505 0.8810
Tb4 Tb 0.5099 0.6289 0.3794
Tb5 Tb 0.8695 0.4901 0.1190
Ce1 Ce 0.7500 0.2500 0.5000
Tl1 Tl 0.1308 0.3749 0.9203
Tl2 Tl 0.1346 0.3836 0.4170
Tl3 Tl 0.2824 0.8654 0.2490
Tl4 Tl 0.4546 0.2105 0.0797
Tl5 Tl 0.6164 0.0334 0.7510
Tl6 Tl 0.6251 0.5454 0.7559
Tl7 Tl 0.7895 0.8692 0.2441
Tl8 Tl 0.9666 0.7176 0.5830

No. 5
# TbCe5Tl8, optimized geometry, DFT PBE
# energy: -55.4 eV for the cell shown
# space group: I-4 (82)
data_TbCe5Tl8
_chemical_formula_sum 'Tb1 Ce5 Tl8'
_space_group_name_H-M_alt 'P 1'
_space_group_IT_number 1
_cell_length_a 8.2260
_cell_length_b 8.2260
_cell_length_c 8.2260
_cell_angle_alpha 109.15
_cell_angle_beta 109.15
_cell_angle_gamma 110.12
loop_
_space_group_symop_operation_xyz
'x,y,z'
loop_
_atom_site_label
_atom_site_type_symbol
_atom_site_fract_x
_atom_site_fract_y
_atom_site_fract_z
Tb1 Tb 0.0000 0.0000 0.0000
Ce1 Ce 0.2562 0.1214 0.6245
Ce2 Ce 0.3684 0.7438 0.8652
Ce3 Ce 0.4969 0.6316 0.3755
Ce4 Ce 0.7500 0.2500 0.5000
Ce5 Ce 0.8786 0.5031 0.1348
Tl1 Tl 0.1222 0.3655 0.9135
Tl2 Tl 0.1256 0.3633 0.4117
Tl3 Tl 0.2861 0.8744 0.2376
Tl4 Tl 0.4520 0.2087 0.0865
Tl5 Tl 0.6345 0.5480 0.7567
Tl6 Tl 0.6367 0.0484 0.7624
Tl7 Tl 0.7913 0.8778 0.2433
Tl8 Tl 0.9516 0.7139 0.5883

No. 6
# Tb2CeTl4, optimized geometry, DFT PBE
# offset from the most stable computed form: 0.080 eV per atom
# space group: R-3m (166)
data_Tb2CeTl4
_chemical_formula_sum 'Tb2 Ce1 Tl4'
_space_group_name_H-M_alt 'P 1'
_space_group_IT_number 1
_cell_length_a 10.5310
_cell_length_b 10.5310
_cell_length_c 10.5310
_cell_angle_alpha 27.11
_cell_angle_beta 27.11
_cell_angle_gamma 27.11
loop_
_space_group_symop_operation_xyz
'x,y,z'
loop_
_atom_site_label
_atom_site_type_symbol
_atom_site_fract_x
_atom_site_fract_y
_atom_site_fract_z
Tb1 Tb 0.1292 0.1292 0.1292
Tb2 Tb 0.8708 0.8708 0.8708
Ce1 Ce 0.0000 0.0000 0.0000
Tl1 Tl 0.2434 0.2434 0.2434
Tl2 Tl 0.3843 0.3843 0.3843
Tl3 Tl 0.6157 0.6157 0.6157
Tl4 Tl 0.7566 0.7566 0.7566

No. 7
# TbCeTl2, optimized geometry, DFT PBE
# energy: -16.4 eV for the cell shown
# space group: P4/mmm (123)
data_TbCeTl2
_chemical_formula_sum 'Tb1 Ce1 Tl2'
_space_group_name_H-M_alt 'P 1'
_space_group_IT_number 1
_cell_length_a 5.0235
_cell_length_b 5.0235
_cell_length_c 4.4962
_cell_angle_alpha 90.00
_cell_angle_beta 90.00
_cell_angle_gamma 90.00
loop_
_space_group_symop_operation_xyz
'x,y,z'
loop_
_atom_site_label
_atom_site_type_symbol
_atom_site_fract_x
_atom_site_fract_y
_atom_site_fract_z
Tb1 Tb 0.0000 0.0000 0.0000
Ce1 Ce 0.5000 0.5000 0.0000
Tl1 Tl 0.0000 0.5000 0.5000
Tl2 Tl 0.5000 0.0000 0.5000

No. 8
# Tb3Ce2Tl6, optimized geometry, DFT PBE
# energy: -40.4 eV for the cell shown
# space group: I4/mmm (139)
data_Tb3Ce2Tl6
_chemical_formula_sum 'Tb3 Ce2 Tl6'
_space_group_name_H-M_alt 'P 1'
_space_group_IT_number 1
_cell_length_a 15.4598
_cell_length_b 15.4598
_cell_length_c 15.4598
_cell_angle_alpha 162.70
_cell_angle_beta 162.70
_cell_angle_gamma 24.57
loop_
_space_group_symop_operation_xyz
'x,y,z'
loop_
_atom_site_label
_atom_site_type_symbol
_atom_site_fract_x
_atom_site_fract_y
_atom_site_fract_z
Tb1 Tb 0.0000 0.0000 0.0000
Tb2 Tb 0.2031 0.2031 0.0000
Tb3 Tb 0.7969 0.7969 0.0000
Ce1 Ce 0.4576 0.4576 0.0000
Ce2 Ce 0.5424 0.5424 0.0000
Tl1 Tl 0.1173 0.6173 0.5000
Tl2 Tl 0.3051 0.3051 0.0000
Tl3 Tl 0.3827 0.8827 0.5000
Tl4 Tl 0.6173 0.1173 0.5000
Tl5 Tl 0.6949 0.6949 0.0000
Tl6 Tl 0.8827 0.3827 0.5000

Number 6 is which compound?
Tb2CeTl4

Number 8 is which compound?
Tb3Ce2Tl6